No. 1
{
  "formula": "LaCo2Sb",
  "functional": "PBE",
  "state": "relaxed",
  "lattice_angstrom": [[-1.090, 3.628, 0.274], [-3.242, -0.841, -1.770], [-2.279, -1.037, 4.664]],
  "species": ["La", "Co", "Sb", "Co"],
  "fractional_positions": [[0.000, 0.000, 0.427], [0.000, 0.000, 0.941], [0.500, 0.500, 0.825], [0.500, 0.500, 0.307]],
  "mass_density_g_cm3": 8.252,
  "raw_formation_energy_ev_per_fu": 0.31,
  "space_group": "Pmm2, No. 25",
  "dft_energy_ev_per_atom": -5.74
}



No. 2
{
  "formula": "La3CoSb",
  "functional": "PBE",
  "state": "relaxed",
  "lattice_angstrom": [[-0.803, 2.832, -6.100], [-9.376, -0.021, 1.225], [5.498, 8.862, 3.390]],
  "species": ["Sb", "La", "La", "La", "Co", "Co", "La", "La", "Co", "Sb", "Co", "Sb", "Sb", "La", "La", "La", "La", "La", "La", "La"],
  "fractional_positions": [[0.748, 0.527, 0.160], [0.057, 0.836, 0.031], [0.557, 0.664, 0.469], [0.241, 0.581, 0.175], [0.744, 0.533, 0.621], [0.244, 0.967, 0.879], [0.259, 0.081, 0.675], [0.553, 0.817, 0.848], [0.756, 0.033, 0.121], [0.248, 0.973, 0.340], [0.256, 0.467, 0.379], [0.752, 0.027, 0.660], [0.252, 0.473, 0.840], [0.053, 0.683, 0.652], [0.447, 0.183, 0.152], [0.947, 0.317, 0.348], [0.759, 0.419, 0.825], [0.443, 0.336, 0.531], [0.741, 0.919, 0.325], [0.943, 0.164, 0.969]],
  "mass_density_g_cm3": 6.359,
  "raw_formation_energy_ev_per_fu": -2.49,
  "space_group": "P2_1/c, No. 14",
  "dft_energy_ev_per_atom": -5.70
}



No. 3
{
  "formula": "LaCoSb2",
  "functional": "PBE",
  "state": "relaxed",
  "lattice_angstrom": [[0.000, 3.661, 3.661], [3.661, 0.000, 3.661], [3.661, 3.661, 0.000]],
  "species": ["Sb", "Sb", "Co", "La"],
  "fractional_positions": [[0.250, 0.250, 0.250], [0.750, 0.750, 0.750], [0.000, 0.000, 0.000], [0.500, 0.500, 0.500]],
  "mass_density_g_cm3": 7.469,
  "raw_formation_energy_ev_per_fu": -0.40,
  "space_group": "Fm-3m, No. 225",
  "dft_energy_ev_per_atom": -5.17
}